*w*
# P3PdS (GGA-PBE, relaxed)
# **Density of states at the Fermi level**: 7.27 states/eV/cell
data_P3PdS
_space_group_name_H-M_alt 'P m -3 m'
_space_group_IT_number 221
_space_group_name_Hall '-P 4 2 3'
_cell_length_a 4.661
_cell_length_b 4.661
_cell_length_c 4.661
_cell_angle_alpha 90.00
_cell_angle_beta 90.00
_cell_angle_gamma 90.00
loop_
_atom_site_label
_atom_site_fract_x
_atom_site_fract_y
_atom_site_fract_z
_atom_site_occupancy
P1 0.000 0.000 0.500 1
Pd1 0.000 0.000 0.000 1
S1 0.500 0.500 0.500 1

*x*
# P3PdS (GGA-PBE, relaxed)
# **Density of states at the Fermi level**: 4.62 states/eV/cell
data_P3PdS
_space_group_name_H-M_alt 'P m -3 m'
_space_group_IT_number 221
_space_group_name_Hall '-P 4 2 3'
_cell_length_a 4.438
_cell_length_b 4.438
_cell_length_c 4.438
_cell_angle_alpha 90.00
_cell_angle_beta 90.00
_cell_angle_gamma 90.00
loop_
_atom_site_label
_atom_site_fract_x
_atom_site_fract_y
_atom_site_fract_z
_atom_site_occupancy
P1 0.000 0.000 0.500 1
Pd1 0.500 0.500 0.500 1
S1 0.000 0.000 0.000 1

Most stable structure - *x*; separation to the second - 119 meV/atom.